Entry 1:
Here is Li2FeNiGe after structural relaxation from Alexandria. Energies are from GGA-PBE.

Calculated values
Total DFT energy (no corrections) in eV per cell: -19.61
DFT formation energy in meV/atom: 616

Lattice parameters (Å, degrees): 4.483 4.483 4.351 90.00 90.00 90.00
Positions (direct):
Li: 0.000 0.500 0.000
Li: 0.500 0.000 0.000
Fe: 0.000 0.000 0.500
Ni: 0.500 0.500 0.500
Ge: 0.500 0.500 0.000



Entry 2:
Here is K2YTe after structural relaxation from Alexandria. Energies are from GGA-PBE.

Calculated values
Total DFT energy (no corrections) in eV per cell: -13.57

Lattice parameters (Å, degrees): 10.974 10.974 10.974 157.87 156.75 32.31
Positions (direct):
K: 0.163 0.163 0.000
K: 0.837 0.837 0.000
Y: 0.500 0.000 0.500
Te: 0.000 0.500 0.500



Entry 3:
Here is TbCd6Hg8 after structural relaxation from Alexandria. Energies are from GGA-PBE.

Calculated values
Total DFT energy (no corrections) in eV per cell: -13.01
DFT formation energy in meV/atom: -32

Lattice parameters (Å, degrees): 7.357 7.357 7.357 81.50 81.50 81.50
Positions (direct):
Tb: 0.000 0.000 0.000
Cd: 0.205 0.584 0.423
Cd: 0.416 0.577 0.795
Cd: 0.423 0.205 0.584
Cd: 0.577 0.795 0.416
Cd: 0.584 0.423 0.205
Cd: 0.795 0.416 0.577
Hg: 0.077 0.391 0.828
Hg: 0.172 0.923 0.609
Hg: 0.221 0.221 0.221
Hg: 0.391 0.828 0.077
Hg: 0.609 0.172 0.923
Hg: 0.779 0.779 0.779
Hg: 0.828 0.077 0.391
Hg: 0.923 0.609 0.172



Entry 4:
Here is SrTl2InHg after structural relaxation from Alexandria. Energies are from GGA-PBE.

Calculated values
Total DFT energy (no corrections) in eV per cell: -21.28
DFT formation energy in meV/atom: -237

Lattice parameters (Å, degrees): 6.197 6.197 10.782 90.00 90.00 132.83
Positions (direct):
Sr: 0.092 0.908 0.750
Sr: 0.908 0.092 0.250
Tl: 0.203 0.797 0.085
Tl: 0.203 0.797 0.415
Tl: 0.797 0.203 0.585
Tl: 0.797 0.203 0.915
In: 0.500 0.500 0.000
In: 0.500 0.500 0.500
Hg: 0.391 0.609 0.750
Hg: 0.609 0.391 0.250



Entry 5:
Here is Cu2SiTe after structural relaxation from Alexandria. Energies are from GGA-PBE.

Calculated values
Total DFT energy (no corrections) in eV per cell: -15.31
Energy relative to the lowest polymorph listed for this composition in eV/atom: 0.297

Lattice parameters (Å, degrees): 2.963 2.963 8.373 90.00 90.00 90.00
Positions (direct):
Cu: 0.000 0.000 0.165
Cu: 0.000 0.000 0.835
Si: 0.500 0.500 0.000
Te: 0.500 0.500 0.500



Entry 6:
Here is HoScTe2 after structural relaxation from Alexandria. Energies are from GGA-PBE.

Calculated values
Total DFT energy (no corrections) in eV per cell: -21.30
Energy relative to the lowest polymorph listed for this composition in eV/atom: 0.182

Lattice parameters (Å, degrees): 5.247 5.247 5.247 60.00 60.00 60.00
Positions (direct):
Ho: 0.000 0.000 0.000
Sc: 0.500 0.500 0.500
Te: 0.250 0.250 0.250
Te: 0.750 0.750 0.750



Entry 7:
Here is AcGa2Pd5Pt after structural relaxation from Alexandria. Energies are from GGA-PBE.

Calculated values
Total DFT energy (no corrections) in eV per cell: -45.68
DFT formation energy in meV/atom: -391

Lattice parameters (Å, degrees): 4.842 4.842 7.271 90.00 90.00 90.00
Positions (direct):
Ac: 0.000 0.000 0.000
Ga: 0.500 0.500 0.334
Ga: 0.500 0.500 0.666
Pd: 0.000 0.500 0.294
Pd: 0.000 0.500 0.706
Pd: 0.500 0.000 0.294
Pd: 0.500 0.000 0.706
Pd: 0.500 0.500 0.000
Pt: 0.000 0.000 0.500



Entry 8:
Here is Nd2Sm3YAs6 after structural relaxation from Alexandria. Energies are from GGA-PBE.

Calculated values
Total DFT energy (no corrections) in eV per cell: -76.34
DFT formation energy in meV/atom: -1523

Lattice parameters (Å, degrees): 9.435 9.435 8.438 102.93 102.93 25.86
Positions (direct):
Nd: 0.166 0.166 0.332
Nd: 0.834 0.834 0.668
Sm: 0.167 0.167 0.834
Sm: 0.500 0.500 0.500
Sm: 0.833 0.833 0.166
Y: 0.500 0.500 0.000
As: 0.001 0.001 0.754
As: 0.334 0.334 0.415
As: 0.335 0.335 0.920
As: 0.665 0.665 0.080
As: 0.666 0.666 0.585
As: 0.999 0.999 0.246



| no. | D(E_F) (states/eV/f.u.) |
| --- | --- |
| 1 | 3.3 |
| 2 | 2.6 |
| 3 | 6.5 |
| 4 | 2.1 |
| 5 | 1.8 |
| 6 | 1.4 |
| 7 | 5.4 |
| 8 | 1.7 |